Material: TlCdCoMo
Method: DFT, GGA-PBE
State: optimized geometry

Properties
SG: No. 216
M_tot in μB per formula unit: 2.65
ΔE to the lowest computed polymorph in eV per atom: 0.000
Theoretical density in Mg/m³: 11.243

Cell lengths 4.6185, 4.6185, 4.6185 Å; angles 60.00, 60.00, 60.00 degrees
Atoms (fractional coordinates):
1 Cd 0.5000 0.5000 0.5000
2 Co 0.7500 0.7500 0.7500
3 Mo 0.2500 0.2500 0.2500
4 Tl 0.0000 0.0000 0.0000